DFT (GGA-PBE) results for an optimized crystal structure of Sm12MgIn4O3.

a b c (Å): 8.8037 8.8037 8.8037
angles (deg): 109.47 109.47 109.47
Sites, in units of the cell vectors:
Sm1 0.0000 0.2718 0.2718
Sm2 0.2718 0.0000 0.2718
O1 0.5000 0.0000 0.5000
Sm3 0.5000 0.7500 0.2500
Sm4 0.2500 0.5000 0.7500
In1 0.0000 0.0000 0.5000
In2 0.5000 0.0000 0.0000
Sm5 0.7282 0.7282 0.0000
Sm6 0.2718 0.2718 0.0000
Sm7 0.5000 0.2500 0.7500
In3 0.0000 0.5000 0.0000
Sm8 0.7500 0.2500 0.5000
Sm9 0.0000 0.7282 0.7282
Sm10 0.2500 0.7500 0.5000
Sm11 0.7500 0.5000 0.2500
Sm12 0.7282 0.0000 0.7282
O2 0.5000 0.5000 0.0000
Mg1 0.0000 0.0000 0.0000
O3 0.0000 0.5000 0.5000
In4 0.5000 0.5000 0.5000

Properties
- electronic total energy (eV per atom) = -5.0972
- N(E_F) (states/eV/cell) = 16.58
- volume (Å³/atom) = 26.263

DFT (GGA-PBE) results for an optimized crystal structure of BaGe3Pt3.

a b c (Å): 6.9450 6.9450 6.9450
angles (deg): 90.00 90.00 90.00
Sites, in units of the cell vectors:
Ge1 0.5000 0.7500 0.0000
Pt1 0.5000 0.0000 0.2500
Pt2 0.0000 0.2500 0.5000
Ge2 0.2500 0.0000 0.5000
Ba1 0.0000 0.0000 0.0000
Ge3 0.0000 0.5000 0.2500
Ge4 0.7500 0.0000 0.5000
Ge5 0.5000 0.2500 0.0000
Ba2 0.5000 0.5000 0.5000
Ge6 0.0000 0.5000 0.7500
Pt3 0.7500 0.5000 0.0000
Pt4 0.5000 0.0000 0.7500
Pt5 0.2500 0.5000 0.0000
Pt6 0.0000 0.7500 0.5000

Properties
- electronic total energy (eV per atom) = -5.4453
- E_form (eV per atom) = -0.603
- N(E_F) (states/eV/cell) = 9.52
- offset from the most stable computed form (meV per atom) = 0
- volume (Å³/atom) = 23.927

DFT (GGA-PBE) results for an optimized crystal structure of SrCr2Si.

a b c (Å): 3.2879 3.2879 6.6921
angles (deg): 90.00 90.00 90.00
Site moments in Bohr magnetons follow the coordinates.
Sites, in units of the cell vectors:
Cr1 0.0000 0.0000 0.1013  0.24
Cr2 0.0000 0.0000 0.3987  0.24
Si1 0.5000 0.5000 0.2500  -0.02
Sr1 0.5000 0.5000 0.7500  0.00

Properties
- electronic total energy (eV per atom) = -6.2365
- N(E_F) (states/eV/cell) = 3.84
- volume (Å³/atom) = 18.086

DFT (GGA-PBE) results for an optimized crystal structure of MgRu2Pb.

a b c (Å): 5.2570 5.2570 5.2570
angles (deg): 144.10 124.37 68.00
Sites, in units of the cell vectors:
Pb1 0.2500 0.7500 0.5000
Ru1 0.9996 0.9996 0.0000
Mg1 0.7500 0.2500 0.5000
Ru2 0.5004 0.5004 0.0000

Properties
- electronic total energy (eV per atom) = -5.5263
- E_form (eV per atom) = 0.437
- N(E_F) (states/eV/cell) = 4.10
- volume (Å³/atom) = 17.321

DFT (GGA-PBE) results for an optimized crystal structure of NaLiTl5.

a b c (Å): 4.8721 4.8721 8.1715
angles (deg): 90.00 90.00 90.00
Sites, in units of the cell vectors:
Tl1 0.0000 0.5000 0.7042
Tl2 0.5000 0.0000 0.2958
Li1 0.0000 0.0000 0.5000
Tl3 0.0000 0.5000 0.2958
Na1 0.0000 0.0000 0.0000
Tl4 0.5000 0.5000 0.0000
Tl5 0.5000 0.0000 0.7042

Properties
- electronic total energy (eV per atom) = -2.2163
- E_form (eV per atom) = -0.064
- N(E_F) (states/eV/cell) = 3.16
- offset from the most stable computed form (meV per atom) = 0
- volume (Å³/atom) = 27.710

DFT (GGA-PBE) results for an optimized crystal structure of Dy5Ho2Tm2.

a b c (Å): 4.9686 9.3114 7.8697
angles (deg): 53.72 71.60 74.53
Sites, in units of the cell vectors:
Dy1 0.7780 0.3338 0.1103
Dy2 0.2220 0.6662 0.8897
Tm1 0.5555 0.6659 0.2232
Dy3 0.3333 0.0005 0.3328
Ho1 0.8895 0.6663 0.5547
Dy4 0.0000 0.0000 0.0000
Dy5 0.6667 0.9995 0.6672
Tm2 0.4445 0.3341 0.7768
Ho2 0.1105 0.3337 0.4453

Properties
- electronic total energy (eV per atom) = -4.5481
- E_form (eV per atom) = 0.020
- N(E_F) (states/eV/cell) = 11.37
- offset from the most stable computed form (meV per atom) = 0
- volume (Å³/atom) = 30.774

DFT (GGA-PBE) results for an optimized crystal structure of SmMg6Hg2.

a b c (Å): 4.4070 4.4070 11.0554
angles (deg): 90.00 90.00 90.00
Sites, in units of the cell vectors:
Hg1 0.5000 0.5000 0.8723
Mg1 0.0000 0.5000 0.2883
Sm1 0.0000 0.0000 0.0000
Mg2 0.0000 0.0000 0.5000
Mg3 0.5000 0.0000 0.7117
Mg4 0.5000 0.0000 0.2883
Mg5 0.5000 0.5000 0.5000
Hg2 0.5000 0.5000 0.1277
Mg6 0.0000 0.5000 0.7117

Properties
- electronic total energy (eV per atom) = -1.8226
- E_form (eV per atom) = -0.168
- N(E_F) (states/eV/cell) = 4.08
- volume (Å³/atom) = 23.858

DFT (GGA-PBE) results for an optimized crystal structure of MgH3Rh.

a b c (Å): 5.3657 5.3657 5.3657
angles (deg): 52.27 52.27 52.27
Sites, in units of the cell vectors:
Mg1 0.8943 0.8943 0.8943
H1 0.5749 0.5707 0.1128
H2 0.4293 0.8872 0.4251
H3 0.1128 0.5749 0.5707
H4 0.4251 0.4293 0.8872
Mg2 0.1057 0.1057 0.1057
Rh1 0.6972 0.6972 0.6972
H5 0.5707 0.1128 0.5749
H6 0.8872 0.4251 0.4293
Rh2 0.3028 0.3028 0.3028

Properties
- electronic total energy (eV per atom) = -4.0104
- N(E_F) (states/eV/cell) = 2.80
- volume (Å³/atom) = 8.941

DFT (GGA-PBE) results for an optimized crystal structure of TmCoRe.

a b c (Å): 5.4315 5.4315 5.4315
angles (deg): 81.33 127.99 122.37
Site moments in Bohr magnetons follow the coordinates.
Sites, in units of the cell vectors:
Tm1 0.2504 0.6198 0.8701  -0.09
Re1 0.5000 0.5000 0.5000  0.29
Co1 0.2502 0.9746 0.2248  1.43
Re2 0.0000 0.0000 0.5000  0.29
Tm2 0.7496 0.3802 0.1299  -0.09
Co2 0.7498 0.0254 0.7752  1.43

Properties
- electronic total energy (eV per atom) = -7.7951
- E_form (eV per atom) = 0.213
- N(E_F) (states/eV/cell) = 6.39
- volume (Å³/atom) = 17.126

DFT (GGA-PBE) results for an optimized crystal structure of K3Tm2PuO6.

a b c (Å): 6.0302 6.0302 6.5651
angles (deg): 98.81 98.81 120.00
Site moments in Bohr magnetons follow the coordinates.
Sites, in units of the cell vectors:
O1 0.4053 0.0616 0.1846  -0.02
Pu1 0.0000 0.0000 0.0000  4.91
Tm1 0.6666 0.3334 0.0000  0.04
O2 0.9384 0.5947 0.8154  -0.02
K1 0.8322 0.1678 0.5000  0.00
K2 0.1678 0.8322 0.5000  0.00
Tm2 0.3334 0.6666 0.0000  0.04
O3 0.5947 0.9384 0.8154  -0.02
K3 0.5000 0.5000 0.5000  0.00
O4 0.2822 0.2822 0.8152  -0.02
O5 0.7178 0.7178 0.1848  -0.02
O6 0.0616 0.4053 0.1846  -0.02

Properties
- electronic total energy (eV per atom) = -7.3387
- N(E_F) (states/eV/cell) = 6.74
- volume (Å³/atom) = 16.401

DFT (GGA-PBE) results for an optimized crystal structure of Er2ZnAu8.

a b c (Å): 4.9132 6.5884 7.8425
angles (deg): 114.85 108.25 90.00
Sites, in units of the cell vectors:
Au1 0.0000 0.7292 0.9999
Au2 0.1728 0.1728 0.3456
Au3 0.8272 0.8272 0.6544
Er1 0.1997 0.6998 0.3993
Au4 0.6281 0.8437 0.2562
Au5 0.0000 0.2708 0.0001
Zn1 0.5000 0.0000 0.0000
Er2 0.8003 0.3002 0.6007
Au6 0.6282 0.4125 0.2564
Au7 0.3718 0.5875 0.7436
Au8 0.3719 0.1563 0.7438

Properties
- electronic total energy (eV per atom) = -3.8523
- E_form (eV per atom) = -0.523
- N(E_F) (states/eV/cell) = 3.97
- volume (Å³/atom) = 19.654

DFT (GGA-PBE) results for an optimized crystal structure of Hf5TlBi2.

a b c (Å): 4.7885 7.1570 15.1182
angles (deg): 90.00 90.00 109.54
Sites, in units of the cell vectors:
Bi1 0.8774 0.7547 0.3671
Bi2 0.8774 0.7547 0.1329
Bi3 0.1226 0.2453 0.8671
Hf1 0.6943 0.3886 0.5209
Bi4 0.1226 0.2453 0.6329
Hf2 0.9062 0.8125 0.9353
Tl1 0.0810 0.1621 0.2500
Hf3 0.0938 0.1875 0.0647
Hf4 0.7003 0.4006 0.2500
Hf5 0.6943 0.3886 0.9791
Hf6 0.3057 0.6114 0.0209
Hf7 0.3057 0.6114 0.4791
Hf8 0.2997 0.5994 0.7500
Hf9 0.0938 0.1875 0.4353
Hf10 0.9062 0.8125 0.5647
Tl2 0.9190 0.8379 0.7500

Properties
- electronic total energy (eV per atom) = -6.9068
- E_form (eV per atom) = 0.580
- N(E_F) (states/eV/cell) = 15.16
- volume (Å³/atom) = 30.517

DFT (GGA-PBE) results for an optimized crystal structure of GdBRh.

a b c (Å): 4.2188 3.7128 3.7128
angles (deg): 120.00 90.00 90.00
Site moments in Bohr magnetons follow the coordinates.
Sites, in units of the cell vectors:
Rh1 0.1667 0.0000 0.0000  0.04
Gd1 0.6667 0.3333 0.6667  7.03
B1 0.1666 0.6667 0.3333  0.00

Properties
- electronic total energy (eV per atom) = -9.9113
- E_form (eV per atom) = -0.541
- N(E_F) (states/eV/cell) = 2.54
- offset from the most stable computed form (meV per atom) = 0
- volume (Å³/atom) = 16.788

DFT (GGA-PBE) results for an optimized crystal structure of NaSrTl2F6.

a b c (Å): 6.2290 6.4342 9.1012
angles (deg): 90.00 92.39 90.00
Sites, in units of the cell vectors:
Sr1 0.0000 0.5000 0.5000
F1 0.3032 0.7066 0.4243
F2 0.8032 0.7934 0.9243
F3 0.8493 0.5782 0.2505
F4 0.7926 0.7949 0.5836
F5 0.1968 0.2066 0.0757
Na1 0.5000 0.0000 0.5000
F6 0.3493 0.9218 0.7505
Sr2 0.5000 0.0000 0.0000
F7 0.7074 0.2949 0.9164
Na2 0.0000 0.5000 0.0000
F8 0.6968 0.2934 0.5757
Tl1 0.9708 0.0553 0.7550
Tl2 0.5292 0.5553 0.7450
F9 0.2926 0.7051 0.0836
F10 0.2074 0.2051 0.4164
F11 0.1507 0.4218 0.7495
Tl3 0.0292 0.9447 0.2450
F12 0.6507 0.0782 0.2495
Tl4 0.4708 0.4447 0.2550

Properties
- electronic total energy (eV per atom) = -4.4170
- N(E_F) (states/eV/cell) = 7.10
- volume (Å³/atom) = 18.222

DFT (GGA-PBE) results for an optimized crystal structure of Rb2BiF6.

a b c (Å): 6.7996 7.7028 8.2997
angles (deg): 90.00 90.00 112.67
Site moments in Bohr magnetons follow the coordinates.
Sites, in units of the cell vectors:
F1 0.7084 0.2919 0.4650  0.12
F2 0.2503 0.0408 0.3589  0.11
F3 0.2084 0.7919 0.0350  0.12
F4 0.1433 0.4175 0.2040  0.13
F5 0.2497 0.4592 0.8589  0.11
F6 0.7503 0.5408 0.1411  0.11
F7 0.6433 0.9175 0.2960  0.13
F8 0.8567 0.5825 0.7960  0.13
F9 0.3567 0.0825 0.7040  0.13
F10 0.7497 0.9592 0.6411  0.11
F11 0.7916 0.2081 0.9650  0.12
Rb1 0.3655 0.1912 0.0397  0.00
Bi1 0.5000 0.0000 0.5000  0.18
Rb2 0.8655 0.6912 0.4603  0.00
Bi2 0.0000 0.5000 0.0000  0.18
Rb3 0.6345 0.8088 0.9603  0.00
Rb4 0.1345 0.3088 0.5397  0.00
F12 0.2916 0.7081 0.5350  0.12

Properties
- electronic total energy (eV per atom) = -4.3628
- N(E_F) (states/eV/cell) = 5.73
- offset from the most stable computed form (meV per atom) = 0
- volume (Å³/atom) = 22.284

DFT (GGA-PBE) results for an optimized crystal structure of FeWAu2.

a b c (Å): 4.3351 3.8469 3.8469
angles (deg): 90.00 90.00 90.00
Site moments in Bohr magnetons follow the coordinates.
Sites, in units of the cell vectors:
Au1 0.0000 0.5000 0.5000  0.00
Fe1 0.5000 0.5000 0.0000  2.70
W1 0.5000 0.0000 0.5000  -0.14
Au2 0.0000 0.0000 0.0000  0.00

Properties
- electronic total energy (eV per atom) = -6.4235
- E_form (eV per atom) = 0.569
- N(E_F) (states/eV/cell) = 6.27
- offset from the most stable computed form (meV per atom) = 335
- volume (Å³/atom) = 16.038

DFT (GGA-PBE) results for an optimized crystal structure of TbGePt.

a b c (Å): 4.3963 7.6253 11.5094
angles (deg): 109.35 101.01 90.00
Sites, in units of the cell vectors:
Pt1 0.2638 0.4272 0.5276
Pt2 0.1023 0.9314 0.2045
Tb1 0.8316 0.2855 0.6631
Ge1 0.5978 0.7535 0.1955
Tb2 0.5000 0.9504 0.0000
Ge2 0.2298 0.0651 0.4596
Pt3 0.7362 0.8996 0.4724
Tb3 0.1684 0.6224 0.3369
Pt4 0.8977 0.7269 0.7955
Tb4 0.0000 0.5370 0.0000
Tb5 0.6661 0.2058 0.3321
Pt5 0.5725 0.3985 0.1449
Pt6 0.4275 0.2536 0.8551
Ge3 0.9359 0.0910 0.8718
Tb6 0.3339 0.8737 0.6679
Ge4 0.0641 0.2192 0.1282
Ge5 0.7702 0.6055 0.5404
Ge6 0.4022 0.5580 0.8045

Properties
- electronic total energy (eV per atom) = -6.2417
- E_form (eV per atom) = -1.146
- N(E_F) (states/eV/cell) = 6.15
- volume (Å³/atom) = 19.806

DFT (GGA-PBE) results for an optimized crystal structure of Pm3ErIr8.

a b c (Å): 5.4046 5.4046 9.3528
angles (deg): 73.21 73.21 60.00
Sites, in units of the cell vectors:
Ir1 0.9378 0.4392 0.6851
Ir2 0.4370 0.4370 0.1898
Er1 0.8748 0.8748 0.3757
Pm1 0.5003 0.5003 0.4990
Pm2 0.3752 0.3752 0.8745
Ir3 0.4392 0.9378 0.6851
Pm3 0.9995 0.9995 0.0014
Ir4 0.9378 0.9378 0.6851
Ir5 0.9362 0.4370 0.1898
Ir6 0.1876 0.1876 0.4371
Ir7 0.6875 0.6875 0.9375
Ir8 0.4370 0.9362 0.1898

Properties
- electronic total energy (eV per atom) = -8.2237
- E_form (eV per atom) = -0.748
- N(E_F) (states/eV/cell) = 9.79
- volume (Å³/atom) = 18.586

DFT (GGA-PBE) results for an optimized crystal structure of KVRhSe3.

a b c (Å): 3.7179 8.6268 9.6668
angles (deg): 114.78 90.00 90.00
Sites, in units of the cell vectors:
V1 0.2500 0.0763 0.5941
Rh1 0.2500 0.6760 0.1589
Se1 0.7500 0.4688 0.1273
Se2 0.7500 0.8746 0.1418
Se3 0.7500 0.2426 0.5483
Se4 0.2500 0.1254 0.8582
K1 0.7500 0.7645 0.7450
Se5 0.2500 0.5312 0.8727
V2 0.7500 0.9237 0.4059
Se6 0.2500 0.7574 0.4517
K2 0.2500 0.2355 0.2550
Rh2 0.7500 0.3240 0.8411

Properties
- electronic total energy (eV per atom) = -5.3640
- N(E_F) (states/eV/cell) = 5.30
- volume (Å³/atom) = 23.458

DFT (GGA-PBE) results for an optimized crystal structure of EuPuHg2.

a b c (Å): 3.6272 5.5497 5.5497
angles (deg): 90.00 90.00 90.00
Site moments in Bohr magnetons follow the coordinates.
Sites, in units of the cell vectors:
Eu1 0.5000 0.5000 0.5000  -6.91
Hg1 0.0000 0.0000 0.5000  0.01
Pu1 0.5000 0.0000 0.0000  5.58
Hg2 0.0000 0.5000 0.0000  0.01

Properties
- electronic total energy (eV per atom) = -6.6234
- E_form (eV per atom) = -0.321
- N(E_F) (states/eV/cell) = 15.65
- offset from the most stable computed form (meV per atom) = 0
- volume (Å³/atom) = 27.928

DFT (GGA-PBE) results for an optimized crystal structure of NaHf2MnPt.

a b c (Å): 4.7354 4.7805 4.7354
angles (deg): 90.00 90.00 90.00
Sites, in units of the cell vectors:
Mn1 0.0000 0.0000 0.0000
Na1 0.5000 0.5000 0.5000
Hf1 0.5000 0.0000 0.0000
Hf2 0.0000 0.0000 0.5000
Pt1 0.0000 0.5000 0.0000

Properties
- electronic total energy (eV per atom) = -6.9440
- E_form (eV per atom) = 0.343
- N(E_F) (states/eV/cell) = 3.84
- volume (Å³/atom) = 21.439

DFT (GGA-PBE) results for an optimized crystal structure of TlIn14Sb.

a b c (Å): 6.6235 6.6235 10.8694
angles (deg): 90.00 90.00 111.81
Sites, in units of the cell vectors:
In1 0.8527 0.6093 0.2469
In2 0.6049 0.9378 0.5000
Tl1 0.0948 0.9052 0.5000
In3 0.3557 0.6443 0.7427
In4 0.6482 0.8014 0.0000
In5 0.0622 0.3951 0.5000
In6 0.1576 0.8424 0.0000
In7 0.1986 0.3518 0.0000
In8 0.8862 0.1138 0.2378
In9 0.8862 0.1138 0.7622
In10 0.8527 0.6093 0.7531
In11 0.3557 0.6443 0.2573
Sb1 0.5726 0.4274 0.5000
In12 0.6904 0.3096 0.0000
In13 0.3907 0.1473 0.7531
In14 0.3907 0.1473 0.2469

Properties
- electronic total energy (eV per atom) = -2.7814
- N(E_F) (states/eV/cell) = 5.23
- volume (Å³/atom) = 27.670